No. 1
5
Lattice="4.5089 0.0000 0.0000 0.0000 4.5089 0.0000 0.0000 0.0000 3.1169" Properties=species:S:1:pos:R:3 comment="CrHOsS2 PBE relaxed" vol_a3_per_cell=63 spacegroup="P4/mmm, No. 123" e_tot_ha_per_atom=-0.21932 pbc="T T T"
Cr 0.0000 0.0000 0.0000
H 0.0000 0.0000 1.5584
Os 2.2544 2.2544 1.5584
S 0.0000 2.2544 0.0000
S 2.2544 0.0000 0.0000

No. 2
16
Lattice="3.7767 2.1805 6.6984 -3.7767 2.1805 6.6984 0.0000 -4.3610 6.6984" Properties=species:S:1:pos:R:3 comment="Li4Hf3PaSe8 PBE relaxed" formation_energy_uncorrected_ev_per_atom=-1.27 vol_a3_per_cell=331 spacegroup="R-3m, No. 166" pbc="T T T"
Li 0.0000 0.0000 0.0000
Li -1.8884 -1.0903 6.6984
Li -1.8884 1.0903 13.3969
Li 0.0000 2.1805 6.6984
Hf -3.7767 0.0000 10.0477
Hf -1.8884 1.0903 3.3492
Hf 1.8884 1.0903 3.3492
Pa 0.0000 0.0000 10.0477
Se -1.9644 -1.1341 11.7608
Se 0.0000 -2.2683 8.3346
Se -1.9644 1.1341 8.3346
Se 0.0000 0.0000 4.9816
Se 0.0000 0.0000 15.1137
Se 1.9644 -1.1341 11.7608
Se 0.0000 2.2683 11.7608
Se 1.9644 1.1341 8.3346

No. 3
4
Lattice="-1.7302 1.7352 7.4478 1.7302 -1.7352 7.4478 1.7302 1.7352 -7.4478" Properties=species:S:1:pos:R:3 comment="Sc2AlPd PBE relaxed" e_form_ev_per_atom=-0.209 vol_a3_per_cell=89 spacegroup="Immm, No. 71" pbc="T T T"
Sc 0.0000 0.0000 2.6629
Sc 0.0000 0.0000 12.2327
Al 0.0000 0.0000 7.4478
Pd 0.0000 0.0000 0.0000

No. 4
12
Lattice="6.1886 0.0000 0.0000 0.0000 5.4970 0.0000 -0.2178 0.0000 12.0122" Properties=species:S:1:pos:R:3 comment="Dy2Y7Er3 PBE relaxed" de_polymorph_mev_per_atom=227.3 e_form_ev_per_atom=0.319 vol_a3_per_cell=409 spacegroup="P2/m, No. 10" pbc="T T T"
Dy 0.5886 0.0000 3.3348
Dy 5.3821 0.0000 8.6775
Y 0.1884 2.7485 9.8586
Y 1.5104 0.0000 6.5508
Y 2.3809 0.0000 9.9847
Y 3.0943 2.7485 0.0000
Y 3.5899 0.0000 2.0276
Y 4.4604 0.0000 5.4614
Y 5.7824 2.7485 2.1536
Er 0.0000 0.0000 0.0000
Er 2.6787 2.7485 4.0955
Er 3.2921 2.7485 7.9168

No. 5
4
Lattice="3.3982 0.0000 0.0000 0.0000 4.5194 0.0000 -1.5978 0.0000 6.8185" Properties=species:S:1:pos:R:3 comment="Cd2InSb PBE relaxed" formation_energy_uncorrected_ev_per_atom=0.07 de_polymorph_mev_per_atom=33.3 vol_a3_per_cell=105 spacegroup="P2/m, No. 10" pbc="T T T"
Cd 0.1818 0.0000 1.6200
Cd 1.6186 0.0000 5.1985
In 1.6991 2.2597 0.0000
Sb -0.7989 2.2597 3.4093

No. 6
10
Lattice="0.0000 4.6932 4.6932 4.6932 0.0000 4.6932 4.6932 4.6932 0.0000" Properties=species:S:1:pos:R:3 comment="Er6Al2NO PBE relaxed" formation_energy_uncorrected_ev_per_atom=-1.16 vol_a3_per_cell=207 spacegroup="Fm-3m, No. 225" pbc="T T T"
Er 4.6932 4.6932 2.3263
Er 4.6932 2.3263 4.6932
Er 7.0600 4.6932 4.6932
Er 2.3263 4.6932 4.6932
Er 4.6932 7.0600 4.6932
Er 4.6932 4.6932 7.0600
Al 2.3466 2.3466 2.3466
Al 7.0397 7.0397 7.0397
N 0.0000 0.0000 0.0000
O 4.6932 4.6932 4.6932